# SCAN SrAl3Fe, PBEsol geometry
data_SrAl3Fe
_chemical_formula_sum 'Sr1 Al3 Fe1'
_space_group_name_H-M_alt 'P m -3 m'
_space_group_IT_number 221
_space_group_name_Hall '-P 4 2 3'
_cell_length_a 4.5772
_cell_length_b 4.5772
_cell_length_c 4.5772
_cell_angle_alpha 90.00
_cell_angle_beta 90.00
_cell_angle_gamma 90.00
loop_
_atom_site_label
_atom_site_fract_x
_atom_site_fract_y
_atom_site_fract_z
Sr1 0.0000 0.0000 0.0000
Al1 0.0000 0.5000 0.5000
Fe1 0.5000 0.5000 0.5000
# - magnetic moment (μB/cell) = 0.86
# - total DFT energy (no corrections) (eV/cell) = -64.832
# - ΔE_f (eV/atom) = -0.23